(1)
# PBE NaCd3In, optimized geometry
# Density   4516 kg/m³
# Total DFT energy (no corrections)   -1.149 eV per atom
# Excess energy over the best structure of this formula in the dataset   265 meV per atom
# Volume   34.9 Å³/atom
# Energy of formation   0.211 eV per atom
# Size of the total moment   0.000 μB per formula unit
# Space group   Pm-3m
data_NaCd3In
_cell_length_a 5.590
_cell_length_b 5.590
_cell_length_c 5.590
_cell_angle_alpha 90.00
_cell_angle_beta 90.00
_cell_angle_gamma 90.00
_symmetry_space_group_name_H-M 'P 1'
_symmetry_Int_Tables_number 1
loop_
_symmetry_equiv_pos_as_xyz
'x,y,z'
loop_
_atom_site_label
_atom_site_fract_x
_atom_site_fract_y
_atom_site_fract_z
Na1 0.000 0.000 0.000
Cd1 0.000 0.500 0.500
Cd2 0.500 0.000 0.500
Cd3 0.500 0.500 0.000
In1 0.500 0.500 0.500


(2)
# PBE NaCd2In8, optimized geometry
# Density   6366 kg/m³
# Total DFT energy (no corrections)   -2.236 eV per atom
# Excess energy over the best structure of this formula in the dataset   64 meV per atom
# Volume   27.7 Å³/atom
# Energy of formation   0.042 eV per atom
# Size of the total moment   0.000 μB per formula unit
# Space group   C2/m
data_NaCd2In8
_cell_length_a 8.548
_cell_length_b 8.548
_cell_length_c 5.482
_cell_angle_alpha 104.41
_cell_angle_beta 104.41
_cell_angle_gamma 119.25
_symmetry_space_group_name_H-M 'P 1'
_symmetry_Int_Tables_number 1
loop_
_symmetry_equiv_pos_as_xyz
'x,y,z'
loop_
_atom_site_label
_atom_site_fract_x
_atom_site_fract_y
_atom_site_fract_z
Na1 0.000 0.000 0.000
Cd1 0.317 0.683 0.500
Cd2 0.683 0.317 0.500
In1 0.085 0.327 0.640
In2 0.221 0.779 0.000
In3 0.327 0.085 0.640
In4 0.408 0.408 0.181
In5 0.592 0.592 0.819
In6 0.673 0.915 0.360
In7 0.779 0.221 0.000
In8 0.915 0.673 0.360


(3)
# PBE Na2CdIn8, optimized geometry
# Density   6037 kg/m³
# Total DFT energy (no corrections)   -2.359 eV per atom
# Volume   26.9 Å³/atom
# Energy of formation   -0.045 eV per atom
# Size of the total moment   0.000 μB per formula unit
# Space group   P4/mmm
data_Na2CdIn8
_cell_length_a 4.918
_cell_length_b 4.918
_cell_length_c 12.248
_cell_angle_alpha 90.00
_cell_angle_beta 90.00
_cell_angle_gamma 90.00
_symmetry_space_group_name_H-M 'P 1'
_symmetry_Int_Tables_number 1
loop_
_symmetry_equiv_pos_as_xyz
'x,y,z'
loop_
_atom_site_label
_atom_site_fract_x
_atom_site_fract_y
_atom_site_fract_z
Na1 0.000 0.000 0.179
Na2 0.000 0.000 0.821
Cd1 0.000 0.000 0.500
In1 0.000 0.500 0.000
In2 0.000 0.500 0.359
In3 0.000 0.500 0.641
In4 0.500 0.000 0.000
In5 0.500 0.000 0.359
In6 0.500 0.000 0.641
In7 0.500 0.500 0.181
In8 0.500 0.500 0.819